1.
CdFeAu2: optimized geometry, PBE.

- DOS(E_F) (states/eV/atom) = 0.9473
- ΔE_f (eV/f.u.) = 0.486
- E (Ry/atom) = -0.28383

Unit cell a=4.1407 b=4.1407 c=8.0874 alpha=90.00 beta=90.00 gamma=90.00
Last column: nearest neighbours and their distance in Å.
Space group I-4m2 (No. 119)
Asymmetric unit:
Cd 0.0000 0.0000 0.0000 (multiplicity 2)  4 Fe 2.89, 8 Au 2.89-2.93
Fe 0.0000 0.5000 0.7500 (multiplicity 2)  4 Cd 2.89, 8 Au 2.89-2.93
Au 0.0000 0.0000 0.5000 (multiplicity 2)  4 Fe 2.89, 4 Au 2.89, 4 Cd 2.93
Au 0.0000 0.5000 0.2500 (multiplicity 2)  4 Cd 2.89, 4 Au 2.89, 4 Fe 2.93



2.
MnZnMo2: optimized geometry, PBE.

- DOS(E_F) (states/eV/atom) = 0.8418
- ΔE_f (eV/f.u.) = 0.855
- E (Ry/atom) = -0.57422

Unit cell a=9.0364 b=2.6384 c=4.9496 alpha=90.00 beta=95.73 gamma=90.00
Last column: nearest neighbours and their distance in Å.
Space group Cm (No. 8)
Asymmetric unit:
Mn 0.0000 0.0000 0.0000 (multiplicity 2)  2 Mn 2.64, 3 Zn 2.68-2.72, 7 Mo 2.72-2.87
Zn 0.2435 0.5000 0.2303 (multiplicity 2)  2 Zn 2.64, 3 Mn 2.68-2.72, 7 Mo 2.71-2.84
Mo 0.2521 0.0000 0.7403 (multiplicity 2)  5 Mo 2.61-2.88, 3 Mn 2.72-2.80, 4 Zn 2.77-2.84
Mo 0.4910 0.0000 0.4842 (multiplicity 2)  5 Mo 2.61-2.88, 3 Zn 2.71-2.79, 4 Mn 2.74-2.87



3.
MnHg5: optimized geometry, PBE.

- DOS(E_F) (states/eV/atom) = 0.6230
- ΔE_f (eV/f.u.) = 2.494
- E (Ry/atom) = -0.10026

Unit cell a=8.5419 b=8.5419 c=8.5419 alpha=90.00 beta=90.00 gamma=90.00
Last column: nearest neighbours and their distance in Å.
Space group F-43m (No. 216)
Asymmetric unit:
Mn 0.0000 0.0000 0.0000 (multiplicity 4)  16 Hg 3.54-3.70
Hg 0.1252 0.1252 0.6252 (multiplicity 16)  6 Hg 3.01-3.03
Hg 0.2500 0.2500 0.2500 (multiplicity 4)  12 Hg 3.54, 4 Mn 3.70



4.
CoBC3: optimized geometry, PBE.

- DOS(E_F) (states/eV/atom) = 0.4439
- ΔE_f (eV/f.u.) = 14.100
- E above lowest polymorph (meV per atom) = 484
- E (Ry/atom) = -0.40211

Unit cell a=3.6842 b=3.6842 c=3.6842 alpha=90.00 beta=90.00 gamma=90.00
Last column: nearest neighbours and their distance in Å.
Space group Pm-3m (No. 221)
Asymmetric unit:
Co 0.0000 0.0000 0.0000 (multiplicity 1)  6 C 1.84
B 0.5000 0.5000 0.5000 (multiplicity 1)  12 C 2.61
C 0.0000 0.0000 0.5000 (multiplicity 3)  2 Co 1.84



5.
ThAs2S6: optimized geometry, PBE.

- DOS(E_F) (states/eV/atom) = 0.0000
- uncorrected formation energy (eV per atom) = -0.548
- E (Ry/atom) = -0.37906

Unit cell a=6.7662 b=6.7662 c=22.7986 alpha=90.00 beta=90.00 gamma=120.00
Last column: nearest neighbours and their distance in Å.
Space group R3 (No. 146, hexagonal axes)
Asymmetric unit:
Th 0.0000 0.0000 0.0000 (multiplicity 3)  6 S 2.81
As 0.0000 0.0000 0.2783 (multiplicity 3)  3 S 2.18
As 0.0000 0.0000 0.3881 (multiplicity 3)  3 S 2.18
S 0.0533 0.3348 0.0817 (multiplicity 9)  1 As 2.18
S 0.0546 0.7204 0.9180 (multiplicity 9)  1 As 2.18



6.
Dy2HoAg2: optimized geometry, PBE.

- DOS(E_F) (states/eV/atom) = 0.7848
- ΔE_f (eV/f.u.) = -1.198
- E above lowest polymorph (meV per atom) = 0
- E (Ry/atom) = -0.30403

Unit cell a=3.6300 b=26.7852 c=5.2300 alpha=90.00 beta=90.00 gamma=90.00
Last column: nearest neighbours and their distance in Å.
Space group Cmcm (No. 63)
Asymmetric unit:
Dy 0.0000 0.0474 0.2500 (multiplicity 4)  8 Ag 3.12-3.18
Dy 0.0000 0.2344 0.2500 (multiplicity 4)  2 Ag 3.07, 4 Dy 3.29
Ho 0.0000 0.1456 0.7500 (multiplicity 4)  6 Ag 3.18, 2 Dy 3.53
Ag 0.0000 0.3580 0.7500 (multiplicity 4)  4 Dy 3.07-3.12, 4 Ho 3.18
Ag 0.0000 0.4520 0.2500 (multiplicity 4)  6 Dy 3.14-3.18, 2 Ho 3.18



7.
ZnHg2Au: optimized geometry, PBE.

- DOS(E_F) (states/eV/atom) = 0.3943
- ΔE_f (eV/f.u.) = 0.463
- E (Ry/atom) = -0.08621

Unit cell a=4.3467 b=4.3467 c=8.4779 alpha=90.00 beta=90.00 gamma=90.00
Last column: nearest neighbours and their distance in Å.
Space group I4/mmm (No. 139)
Asymmetric unit:
Zn 0.0000 0.0000 0.0000 (multiplicity 2)  8 Hg 3.04, 4 Au 3.07
Hg 0.0000 0.5000 0.2500 (multiplicity 4)  4 Zn 3.04, 4 Au 3.04, 4 Hg 3.07
Au 0.0000 0.0000 0.5000 (multiplicity 2)  8 Hg 3.04, 4 Zn 3.07



8.
BaCd3Pd2: optimized geometry, PBE.

- DOS(E_F) (states/eV/atom) = 0.4655
- ΔE_f (eV/f.u.) = -2.541
- E above lowest polymorph (meV per atom) = 0
- E (Ry/atom) = -0.21553

Unit cell a=10.8015 b=9.1900 c=5.8769 alpha=90.00 beta=90.00 gamma=90.00
Last column: nearest neighbours and their distance in Å.
Space group Cmcm (No. 63)
Asymmetric unit:
Ba 0.0000 0.1551 0.2500 (multiplicity 4)  7 Cd 3.53-3.64, 4 Pd 3.65
Cd 0.0000 0.4578 0.7500 (multiplicity 4)  4 Pd 2.83, 4 Cd 2.91-3.04
Cd 0.1877 0.2306 0.7500 (multiplicity 8)  4 Pd 2.76-2.90, 1 Cd 2.91
Pd 0.2207 0.5000 0.0000 (multiplicity 8)  6 Cd 2.76-2.90, 2 Pd 2.94